No. 1
ZnNi2As | PBE-GGA | optimized geometry

a b c (Å): 6.6015 6.6015 5.2137
angles (deg): 90.00 90.00 90.00
Last column: nearest neighbours and their distance in Å.
Space group I-42d (No. 122)
Symmetry-distinct sites (fractional):
Zn  0.0000  0.0000  0.0000 [4 per cell]  4 Ni 2.53, 2 As 2.61
Ni  0.2261  0.2500  0.6250 [8 per cell]  2 As 2.32, 2 Zn 2.53
As  0.0000  0.0000  0.5000 [4 per cell]  4 Ni 2.32

Computed properties:
Energy above the lowest structure with this stoichiometry   0.316 eV per atom
DFT formation energy   0.10 eV/atom


No. 2
Li2SiAs2 | PBE-GGA | optimized geometry

a b c (Å): 7.6328 7.6328 2.7676
angles (deg): 90.00 90.00 90.00
Last column: nearest neighbours and their distance in Å.
Space group P4/mbm (No. 127)
Symmetry-distinct sites (fractional):
Li  0.1167  0.3833  0.0000 [4 per cell]  3 Li 2.52-2.77, 6 As 2.57-2.72
Si  0.0000  0.0000  0.5000 [2 per cell]  2 Si 2.77, 4 As 2.80
As  0.1824  0.6824  0.5000 [4 per cell]  6 Li 2.57-2.72, 2 As 2.77, 2 Si 2.80

Computed properties:
Energy above the lowest structure with this stoichiometry   0.066 eV per atom
E_form (uncorrected)   -0.237 eV per atom


No. 3
Ba8Pd5Au | PBE-GGA | optimized geometry

a b c (Å): 9.9886 9.9886 9.9194
angles (deg): 90.00 90.00 90.00
Last column: nearest neighbours and their distance in Å.
Space group I-4 (No. 82)
Symmetry-distinct sites (fractional):
Ba  0.0612  0.1897  0.1853 [8 per cell]  3 Pd 3.20-3.24
Ba  0.0656  0.3179  0.5644 [8 per cell]  2 Pd 3.22-3.24, 1 Au 3.30
Pd  0.0000  0.5000  0.2500 [2 per cell]  4 Ba 3.22
Pd  0.1278  0.2516  0.8755 [8 per cell]  4 Ba 3.20-3.24
Au  0.0000  0.0000  0.5000 [2 per cell]  4 Ba 3.30

Computed properties:
DFT formation energy   -0.50 eV/atom


No. 4
Pm3PdCl3 | PBE-GGA | optimized geometry

a b c (Å): 11.7473 11.7473 11.7473
angles (deg): 90.00 90.00 90.00
Last column: nearest neighbours and their distance in Å.
Space group I4_132 (No. 214)
Symmetry-distinct sites (fractional):
Pm  0.1161  0.3661  0.1250 [24 per cell]  2 Pd 2.83, 4 Cl 2.96-3.04
Pd  0.1250  0.1250  0.1250 [8 per cell]  6 Pm 2.83
Cl  0.1236  0.1264  0.6250 [24 per cell]  4 Pm 2.96-3.04

Computed properties:
E_form (uncorrected)   -1.512 eV per atom


No. 5
Ca2Sn4Pd3Rh | PBE-GGA | optimized geometry

a b c (Å): 4.4216 4.4216 11.4365
angles (deg): 90.00 90.00 90.00
Last column: nearest neighbours and their distance in Å.
Space group P-4m2 (No. 115)
Symmetry-distinct sites (fractional):
Ca  0.0000  0.5000  0.2481 [2 per cell]  6 Pd 3.37-3.60, 8 Sn 3.41-3.63, 2 Rh 3.60
Sn  0.0000  0.0000  0.5000 [1 per cell]  4 Pd 2.74
Sn  0.0000  0.5000  0.8714 [2 per cell]  3 Pd 2.63-2.66, 2 Rh 2.66
Sn  0.5000  0.5000  0.5000 [1 per cell]  4 Pd 2.74
Pd  0.0000  0.0000  0.0000 [1 per cell]  4 Sn 2.66
Pd  0.0000  0.5000  0.6417 [2 per cell]  5 Sn 2.63-2.74
Rh  0.5000  0.5000  0.0000 [1 per cell]  4 Sn 2.66

Computed properties:
DFT formation energy   -0.66 eV/atom


No. 6
Li3RhCl6 | PBE-GGA | optimized geometry

a b c (Å): 8.5951 8.9933 12.3114
angles (deg): 90.00 90.00 90.00
Last column: nearest neighbours and their distance in Å.
Space group Fmmm (No. 69)
Symmetry-distinct sites (fractional):
Li  0.0000  0.0000  0.0000 [4 per cell]  2 Cl 2.18
Li  0.2500  0.2500  0.2500 [8 per cell]  4 Cl 2.70
Rh  0.0000  0.0000  0.5000 [4 per cell]  6 Cl 2.32-2.37
Cl  0.0000  0.2424  0.0000 [8 per cell]  1 Li 2.18, 1 Rh 2.32
Cl  0.1954  0.0000  0.3646 [16 per cell]  1 Rh 2.37

Computed properties:
Energy above the lowest structure with this stoichiometry   0.142 eV per atom
E_form (uncorrected)   -1.151 eV per atom


No. 7
BaLaPr4Se8 | PBE-GGA | optimized geometry

a b c (Å): 8.8995 8.8995 21.9889
angles (deg): 90.00 90.00 120.00
Last column: nearest neighbours and their distance in Å.
Space group R3m (No. 160, hexagonal axes)
Symmetry-distinct sites (fractional):
Ba  0.0000  0.0000  0.0000 [3 per cell]  4 Se 3.06-3.07
La  0.0000  0.0000  0.6268 [3 per cell]  6 Se 2.97-3.09
Pr  0.0000  0.0000  0.2509 [3 per cell]  4 Se 2.89-2.90
Pr  0.1686  0.3373  0.4583 [9 per cell]  6 Se 2.95-3.08
Se  0.0000  0.0000  0.3829 [3 per cell]  4 Pr 2.90-3.08
Se  0.0000  0.0000  0.8604 [3 per cell]  3 Pr 2.95, 1 Ba 3.07
Se  0.0403  0.5201  0.3810 [9 per cell]  2 Pr 2.95, 1 La 2.97, 1 Ba 3.06
Se  0.1762  0.3524  0.2058 [9 per cell]  3 Pr 2.89-3.08, 1 La 3.09

Computed properties:
E_form (uncorrected)   -1.819 eV per atom


No. 8
Rb2HgTeI6 | PBE-GGA | optimized geometry

a b c (Å): 8.9065 8.9065 12.3170
angles (deg): 90.00 90.00 90.00
Last column: nearest neighbours and their distance in Å.
Space group I4/mmm (No. 139)
Symmetry-distinct sites (fractional):
Rb  0.0000  0.5000  0.2500 [4 per cell]  12 I 4.41-4.46
Hg  0.0000  0.0000  0.0000 [2 per cell]  2 I 2.76
Te  0.0000  0.0000  0.5000 [2 per cell]  4 I 2.97
I  0.0000  0.0000  0.2242 [4 per cell]  1 Hg 2.76
I  0.2357  0.2357  0.5000 [8 per cell]  1 Te 2.97

Computed properties:
E_form (uncorrected)   -0.680 eV per atom


No. 9
PuRuPt | PBE-GGA | optimized geometry

a b c (Å): 3.7587 3.7587 8.0412
angles (deg): 90.00 90.00 90.00
Last column: nearest neighbours and their distance in Å.
Space group I4mm (No. 107)
Symmetry-distinct sites (fractional):
Pu  0.0000  0.0000  0.0000 [2 per cell]  1 Ru 2.44
Ru  0.0000  0.0000  0.3029 [2 per cell]  1 Pu 2.44
Pt  0.0000  0.0000  0.6585 [2 per cell]  5 Pu 2.75-2.95, 5 Ru 2.86-2.90

Computed properties:
Energy above the lowest structure with this stoichiometry   0.332 eV per atom
DFT formation energy   -0.16 eV/atom


No. 10
TaMo2Pt2 | PBE-GGA | optimized geometry

a b c (Å): 3.7675 3.7675 12.4644
angles (deg): 90.00 90.00 90.00
Last column: nearest neighbours and their distance in Å.
Space group I4/mmm (No. 139)
Symmetry-distinct sites (fractional):
Ta  0.0000  0.0000  0.0000 [2 per cell]  8 Mo 2.91
Mo  0.0000  0.0000  0.4054 [4 per cell]  1 Mo 2.36
Pt  0.0000  0.5000  0.2500 [4 per cell]  4 Pt 2.66, 4 Mo 2.70

Computed properties:
Energy above the lowest structure with this stoichiometry   0.231 eV per atom
DFT formation energy   0.20 eV/atom